BRhF2: relaxed, GGA-PBE.

## Properties
For the total energy, the calculation gives -4.9885 eV/atom. The calculated volume comes out at 184.7 Å³/cell. The uncorrected formation energy is -0.546 eV per atom. As for the space group: R-3m (166). The distance to the lowest polymorph of the same formula comes out at 0 meV/atom.

a = 2.6414 Å, b = 2.6414 Å, c = 30.5604 Å
α = 90.00°, β = 90.00°, γ = 120.00°
Closest atoms and distances in Å follow each position.
Atoms (fractional coordinates):
B  0.0000  0.0000  0.0000  2 F 1.34
B  0.3333  0.6667  0.6667  2 F 1.34
B  0.6667  0.3333  0.3333  2 F 1.34
Rh  0.0000  0.0000  0.5000  6 Rh 2.64
Rh  0.3333  0.6667  0.1667  6 Rh 2.64
Rh  0.6667  0.3333  0.8333  6 Rh 2.64
F  0.0000  0.0000  0.0439  1 B 1.34
F  0.0000  0.0000  0.9561  1 B 1.34
F  0.3333  0.6667  0.6228  1 B 1.34
F  0.3333  0.6667  0.7105  1 B 1.34
F  0.6667  0.3333  0.2895  1 B 1.34
F  0.6667  0.3333  0.3772  1 B 1.34